An optimized crystal structure of NpSCl2. Source: Alexandria via LeMat-Bulk, functional GGA-PBE.

```
NpSCl2
1.0
-1.636 3.307 0.408
-2.538 -2.940 -3.240
-1.944 -1.827 7.021
Np S Cl
1 1 2
Cartesian
-3.051 0.391 1.477
-3.674 -1.814 -0.032
-0.805 -0.416 0.144
-2.917 -1.822 3.075
```

Computed properties:
* ρ: 4.6 g cm⁻³
* E_tot: -26.16 eV for the cell shown
* D(E_F): 10.56 states/eV per cell
* crystal system: monoclinic
* energy above the lowest structure with this stoichiometry: 55 meV/atom
* raw formation energy: -5.403 eV/f.u.
* total magnetic moment: 3.0 μB/cell